Below is a geometry-optimized KHgRu3 structure, with properties calculated at the GGA-PBE level.

The space group is Pm-3m (No. 221) and the conventional cell measures 5.1389, 5.1389 and 5.1389 Å, with angles of 90.00, 90.00 and 90.00 degrees. The inequivalent atoms are K at (0.0000, 0.0000, 0.0000), Hg at (0.5000, 0.5000, 0.5000) and Ru at (0.0000, 0.5000, 0.5000).

Its total energy is -3.794 eV/atom. The calculation puts the spin magnetization at 1.2865 μB per atom. The formation energy is 2051 meV/atom. The calculation puts the energy above the lowest structure with this stoichiometry at 0.000 eV/atom.